(1)
K2TaHg (GGA-PBE, relaxed); formation energy from the elements = 0.827 eV/atom; calculated total energy = -0.10144 Ha/atom
1.0
12.731 -0.011 -0.006
12.304 3.268 -0.006
12.304 1.601 2.849
Hg K Ta
1 2 1
Cartesian
28.381 3.693 2.156 Hg
8.886 1.156 0.675 K
0.559 0.073 0.042 K
18.183 2.366 1.381 Ta

---

(2)
RbAgB3 (GGA-PBE, relaxed); formation energy from the elements = 1.976 eV/atom; energy relative to the lowest polymorph listed for this composition = 0 meV/atom; calculated total energy = -0.10267 Ha/atom
1.0
4.492 0.000 0.000
0.000 4.492 0.000
0.000 0.000 4.492
Ag Rb B
1 1 3
Cartesian
0.000 0.000 0.000 Ag
2.246 2.246 2.246 Rb
2.246 0.000 0.000 B
0.000 2.246 0.000 B
0.000 0.000 2.246 B

---

(3)
Cu2TeW (GGA-PBE, relaxed); energy relative to the elements, uncorrected = 0.675 eV per atom; calculated total energy = -0.19835 Ha/atom
1.0
-3.614 1.894 -1.887
-3.756 0.565 2.405
-1.277 4.129 1.236
Cu W Te
2 1 1
Cartesian
-6.485 4.941 1.316 Cu
0.000 0.000 0.000 Cu
-2.162 1.647 0.439 W
-4.323 3.294 0.878 Te

---

(4)
AlIn2Cl (GGA-PBE, relaxed); energy relative to the elements, uncorrected = -0.067 eV per atom; energy relative to the lowest polymorph listed for this composition = 166 meV/atom; calculated total energy = -0.10414 Ha/atom
1.0
-5.140 3.553 0.496
-3.044 -3.861 -3.889
-6.197 -3.956 3.725
Cl In Al
2 4 2
Cartesian
-7.714 -0.278 1.262 Cl
0.000 0.000 0.000 Cl
-11.690 -3.087 -0.025 In
-4.293 -2.820 -1.418 In
-4.943 0.611 0.736 In
-7.834 -3.232 1.371 In
-6.666 -3.985 -0.930 Al
-4.092 -0.154 -1.697 Al

---

(5)
KBaAu2 (GGA-PBE, relaxed); formation energy from the elements = -0.425 eV/atom; energy relative to the lowest polymorph listed for this composition = 106 meV/atom; calculated total energy = -0.10360 Ha/atom
1.0
6.808 -0.014 -0.011
3.600 5.778 0.011
-5.016 -3.221 3.288
Ba Au K
1 2 1
Cartesian
5.344 2.959 0.000 Ba
3.945 0.071 1.638 Au
9.950 5.510 0.000 Au
1.765 2.648 1.649 K

---

(6)
PmPuMnN4 (GGA-PBE, relaxed); energy relative to the elements, uncorrected = -0.818 eV per atom; calculated total energy = -0.35322 Ha/atom
1.0
-0.806 -2.163 -4.730
0.498 -4.785 2.104
-5.712 0.933 3.474
N Pu Pm Mn
8 2 2 2
Cartesian
-3.259 -0.615 -0.628 N
-0.361 -3.607 1.711 N
-5.658 -2.409 -0.863 N
-2.607 -1.926 2.789 N
-2.856 0.466 1.737 N
-3.010 -3.008 0.424 N
-4.710 -3.712 2.500 N
-1.309 -2.303 -1.652 N
-4.811 -4.787 0.081 Pu
-1.209 -1.229 0.768 Pu
-1.354 -4.703 -0.547 Pm
-4.666 -1.313 1.395 Pm
-2.921 -3.669 2.176 Mn
-3.099 -2.346 -1.327 Mn

---

(7)
ZrAlHg2 (GGA-PBE, relaxed); formation energy from the elements = 0.011 eV/atom; calculated total energy = -0.11807 Ha/atom
1.0
10.118 0.020 0.012
9.612 3.159 0.012
9.612 1.549 2.753
Zr Al Hg
1 1 2
Cartesian
14.549 2.344 1.377 Zr
22.040 3.551 2.086 Al
0.162 0.026 0.015 Hg
7.262 1.170 0.687 Hg

---

(8)
CoW2Cl (GGA-PBE, relaxed); energy relative to the elements, uncorrected = 0.772 eV per atom; energy relative to the lowest polymorph listed for this composition = 397 meV/atom; calculated total energy = -0.29188 Ha/atom
1.0
-0.136 -4.051 -1.410
2.494 -3.246 -1.289
0.591 -2.627 4.656
W Co Cl
2 1 1
Cartesian
0.598 -2.639 4.569 W
1.467 -4.951 1.065 W
2.212 -7.443 1.468 Co
0.737 -2.481 0.489 Cl

---

(9)
MnVBiBr2 (GGA-PBE, relaxed); energy relative to the elements, uncorrected = 0.977 eV per atom; calculated total energy = -0.15161 Ha/atom
1.0
-1.921 3.183 -4.671
-2.692 -4.217 -1.767
-4.773 1.730 3.141
V Br Bi Mn
1 2 1 1
Cartesian
-4.692 0.348 -1.648 V
-2.386 0.865 1.571 Br
-0.960 1.592 -2.336 Br
0.000 0.000 0.000 Bi
-1.346 -2.108 -0.883 Mn

---

(10)
TbPr6Y2Tm3 (GGA-PBE, relaxed); formation energy from the elements = 0.013 eV/atom; calculated total energy = -0.18221 Ha/atom
1.0
-4.515 3.672 -2.408
0.892 -5.801 -2.284
-6.385 -3.523 9.342
Tb Tm Pr Y
1 3 6 2
Cartesian
0.000 0.000 0.000 Tb
-5.004 -2.826 2.325 Tm
-6.806 0.331 2.284 Tm
-3.202 -5.983 2.366 Tm
-1.620 -2.998 1.203 Pr
-8.389 -2.654 3.447 Pr
-4.334 -2.489 -1.168 Pr
-3.419 0.153 1.162 Pr
-5.675 -3.163 5.818 Pr
-6.590 -5.805 3.488 Pr
-0.911 -2.643 -2.325 Y
-2.712 0.514 -2.367 Y

---

(11)
Er2PdI2 (GGA-PBE, relaxed); energy relative to the elements, uncorrected = -1.080 eV per atom; calculated total energy = -0.16772 Ha/atom
1.0
-2.706 2.089 -2.229
-2.039 -1.861 -3.005
-10.000 -2.819 5.761
Er Pd I
2 1 2
Cartesian
-4.299 -0.238 -2.477 Er
-10.446 -2.352 3.004 Er
0.000 0.000 0.000 Pd
-10.490 -1.748 -0.112 I
-4.255 -0.843 0.639 I

---

(12)
YIn2Rh (GGA-PBE, relaxed); formation energy from the elements = -0.419 eV/atom; calculated total energy = -0.19263 Ha/atom
1.0
4.253 0.000 0.000
0.000 4.253 0.000
0.000 0.000 4.778
Rh Y In
1 1 2
Cartesian
2.126 0.000 2.389 Rh
0.000 2.126 2.389 Y
2.126 2.126 0.000 In
0.000 0.000 0.000 In

---

(13)
HgH6Pd2Pt2 (GGA-PBE, relaxed); calculated total energy = -0.14242 Ha/atom
1.0
4.749 -0.018 0.010
2.394 6.330 -0.085
-0.001 -3.737 4.320
Pd Pt H Hg
2 2 6 1
Cartesian
4.752 -0.690 3.330 Pd
2.390 3.265 0.915 Pd
2.381 0.948 2.699 Pt
4.761 1.627 1.546 Pt
2.384 2.633 2.597 H
4.758 -0.059 1.648 H
1.112 1.894 0.299 H
3.662 1.886 0.303 H
3.480 0.689 3.942 H
6.030 0.681 3.947 H
2.374 -1.878 2.165 Hg

---

(14)
Zr2Zn2Co3 (GGA-PBE, relaxed); formation energy from the elements = -0.232 eV/atom; calculated total energy = -0.22357 Ha/atom
1.0
-1.454 -1.539 -3.881
3.324 -2.002 2.068
-3.381 -2.880 4.924
Co Zr Zn
3 2 2
Cartesian
0.000 0.000 0.000 Co
-2.194 -3.642 2.265 Co
0.683 -2.780 0.846 Co
-0.966 -4.105 4.506 Zr
-0.546 -2.317 -1.395 Zr
0.077 -4.939 1.930 Zn
-1.589 -1.482 1.182 Zn

---

(15)
UHg2Rh2S6 (GGA-PBE, relaxed); energy relative to the elements, uncorrected = -0.669 eV per atom; calculated total energy = -0.19617 Ha/atom
1.0
-5.046 -2.006 -2.462
2.751 -3.204 4.209
-4.328 5.804 6.100
Hg S Rh U
2 6 2 1
Cartesian
-3.765 -2.203 -1.366 Hg
1.470 -3.007 3.113 Hg
-4.398 0.252 5.185 S
-4.745 2.859 3.179 S
-2.225 0.343 2.661 S
-1.878 -2.265 4.668 S
-4.684 -1.834 2.266 S
-1.938 2.428 5.581 S
-4.609 0.496 2.813 Rh
-2.013 0.098 5.034 Rh
-2.164 2.902 3.050 U

---

(16)
SrMn2Au (GGA-PBE, relaxed); formation energy from the elements = 0.345 eV/atom; calculated total energy = -0.20138 Ha/atom
1.0
4.729 0.000 0.000
0.000 3.790 -0.052
0.000 1.149 5.341
Au Sr Mn
1 1 2
Cartesian
2.365 3.705 3.967 Au
2.365 1.235 1.322 Sr
0.000 2.913 2.895 Mn
0.000 4.496 5.039 Mn

---

(17)
Ca2Ac4C (GGA-PBE, relaxed); formation energy from the elements = 0.225 eV/atom; calculated total energy = -0.14745 Ha/atom
1.0
-2.008 1.704 -4.969
-4.718 -2.924 0.905
-0.482 8.090 6.151
Ca C Ac
2 1 4
Cartesian
-2.660 5.174 2.849 Ca
-4.549 1.696 -0.763 Ca
0.000 0.000 0.000 C
-6.162 4.835 0.966 Ac
-1.004 0.852 -2.485 Ac
-2.359 -1.462 0.452 Ac
-1.046 2.035 1.120 Ac

---

(18)
Nd5Ru2Au2 (GGA-PBE, relaxed); formation energy from the elements = -0.456 eV/atom; calculated total energy = -0.21663 Ha/atom
1.0
-6.075 -1.898 4.533
3.787 -6.425 2.385
0.057 3.033 8.080
Nd Au Ru
10 4 4
Cartesian
-0.589 -0.692 3.372 Nd
-1.144 -4.161 3.459 Nd
-1.642 -4.598 11.626 Nd
0.769 -2.586 8.965 Nd
0.000 0.000 0.000 Nd
2.282 -3.599 3.835 Nd
-0.129 -5.610 6.496 Nd
-2.102 0.321 8.502 Nd
-3.000 -2.704 6.033 Nd
-4.513 -1.691 11.163 Nd
-2.375 -2.786 9.119 Au
0.144 -2.504 5.879 Au
-1.231 1.376 5.660 Au
-4.787 -0.240 6.953 Au
0.575 -2.611 1.482 Ru
-2.863 -5.712 5.436 Ru
-3.347 -2.059 3.192 Ru
1.059 -6.263 3.727 Ru

---

(19)
Pr2Dy5TmTh (GGA-PBE, relaxed); formation energy from the elements = 0.152 eV/atom; calculated total energy = -0.17596 Ha/atom
1.0
5.628 0.000 0.000
-2.814 10.170 0.000
0.000 0.000 10.466
Dy Pr Th Tm
10 4 2 2
Cartesian
0.000 7.875 0.252 Dy
2.814 2.295 5.485 Dy
0.000 6.096 7.401 Dy
0.000 9.771 7.759 Dy
2.814 4.074 2.168 Dy
2.814 9.852 5.442 Dy
0.000 5.602 3.291 Dy
2.814 4.568 8.524 Dy
0.000 0.318 0.210 Dy
2.814 0.398 2.527 Dy
2.814 7.844 8.561 Pr
2.814 7.801 2.400 Pr
0.000 2.368 7.633 Pr
0.000 2.326 3.328 Pr
0.000 4.037 0.136 Th
2.814 6.132 5.369 Th
0.000 8.285 4.777 Tm
2.814 1.884 10.010 Tm

---

(20)
TaNi9Sb2 (GGA-PBE, relaxed); energy relative to the elements, uncorrected = -0.207 eV per atom; calculated total energy = -0.22850 Ha/atom
1.0
3.710 0.000 0.000
0.000 3.710 0.000
0.000 0.000 11.181
Sb Ni Ta
2 9 1
Cartesian
0.000 0.000 3.734 Sb
0.000 0.000 7.448 Sb
1.855 0.000 9.396 Ni
0.000 1.855 1.785 Ni
1.855 0.000 1.785 Ni
1.855 1.855 7.502 Ni
1.855 1.855 3.679 Ni
1.855 1.855 0.000 Ni
1.855 0.000 5.591 Ni
0.000 1.855 9.396 Ni
0.000 1.855 5.591 Ni
0.000 0.000 0.000 Ta